This record from Alexandria via LeMat-Bulk describes a geometry-optimized AcNpFe2O8 structure. The functional is GGA+U.

The value obtained for the calculated total energy is -92.7 eV per formula unit. Its volume is 188.7 Å³/cell.

It has space group P-3 (No. 147), with a = 5.4517 Å, b = 5.4517 Å, c = 7.3301 Å, α = 90.00°, β = 90.00° and γ = 120.00°. The asymmetric unit holds Ac at (0.0000, 0.0000, 0.0000), Np at (0.0000, 0.0000, 0.5000), Fe at (0.3333, 0.6667, 0.7598), O at (0.0473, 0.3011, 0.6816) and O at (0.3333, 0.6667, 0.0017).